Li2MnAlO4: optimized geometry, PBE+U.

The structure in extended XYZ format:
```
8
Lattice="2.865 0.000 0.000 0.000 4.988 0.073 0.000 -1.756 4.782" Properties=species:S:1:pos:R:3 pbc="T T T"
O 0.000 -0.121 3.756
O 0.000 3.353 1.099
O 1.432 2.464 3.789
O 1.432 0.767 1.066
Al 0.000 0.000 0.000
Mn 1.432 2.494 0.037
Li 1.432 -0.878 2.391
Li 0.000 1.616 2.428
```

Properties
- Space group: No. 10
- Crystal system: monoclinic
- Uncorrected energy: -6.483 eV/atom